Record 1
Compound: YTlNiTe3
Source: OQMD
Functional: PBE-GGA
Structure: relaxed

Unit cell a=11.0213 b=4.1517 c=15.8922 alpha=90.00 beta=90.00 gamma=90.00
Last column: nearest neighbours and their distance in Å.
Fractional positions:
Y1 0.0109 0.2500 0.2471  6 Te 3.02-3.06
Y2 0.4891 0.7500 0.7471  6 Te 3.02-3.06
Y3 0.5109 0.2500 0.2529  6 Te 3.02-3.06
Y4 0.9891 0.7500 0.7529  6 Te 3.02-3.06
Tl1 0.2318 0.7500 0.4989  6 Te 3.38-3.43
Tl2 0.2682 0.2500 0.9989  6 Te 3.38-3.43
Tl3 0.7318 0.7500 0.0011  6 Te 3.38-3.43
Tl4 0.7682 0.2500 0.5011  6 Te 3.38-3.43
Ni1 0.2412 0.2500 0.7314  4 Te 2.55-2.59
Ni2 0.2588 0.7500 0.2314  4 Te 2.55-2.59
Ni3 0.7412 0.2500 0.7686  4 Te 2.55-2.59
Ni4 0.7588 0.7500 0.2686  4 Te 2.55-2.59
Te1 0.0695 0.2500 0.6230  1 Ni 2.56
Te2 0.0937 0.7500 0.1186  1 Ni 2.55
Te3 0.2405 0.7500 0.8284  2 Ni 2.59
Te4 0.2595 0.2500 0.3284  2 Ni 2.59
Te5 0.4063 0.2500 0.6186  1 Ni 2.55
Te6 0.4305 0.7500 0.1230  1 Ni 2.56
Te7 0.5695 0.2500 0.8770  1 Ni 2.56
Te8 0.5937 0.7500 0.3814  1 Ni 2.55
Te9 0.7405 0.7500 0.6716  2 Ni 2.59
Te10 0.7595 0.2500 0.1716  2 Ni 2.59
Te11 0.9063 0.2500 0.8814  1 Ni 2.55
Te12 0.9305 0.7500 0.3770  1 Ni 2.56

Summary:
**SG**: Pnma


Record 2
Compound: YTlNiTe3
Source: OQMD
Functional: PBE-GGA
Structure: relaxed

Unit cell a=9.1344 b=9.1344 c=9.6298 alpha=104.03 beta=104.03 gamma=27.83
Last column: nearest neighbours and their distance in Å.
Fractional positions:
Y1 0.1742 0.1742 0.0919  6 Te 2.99-3.11
Y2 0.8258 0.8258 0.9081  6 Te 2.99-3.11
Tl1 0.1424 0.1424 0.5669  7 Te 3.29-3.61
Tl2 0.8576 0.8576 0.4331  7 Te 3.29-3.61
Ni1 0.4985 0.4985 0.8222  4 Te 2.57-2.78
Ni2 0.5015 0.5015 0.1778  4 Te 2.57-2.78
Te1 0.0000 0.0000 0.0000  4 Ni 2.78, 2 Y 2.99
Te2 0.3513 0.3513 0.1441  1 Ni 2.60
Te3 0.3514 0.3514 0.7055  1 Ni 2.57
Te4 0.5000 0.5000 0.5000  2 Ni 3.11, 4 Tl 3.29
Te5 0.6486 0.6486 0.2945  1 Ni 2.57
Te6 0.6487 0.6487 0.8559  1 Ni 2.60

Summary:
**SG**: C2/m


Record 3
Compound: YTlNiTe3
Source: OQMD
Functional: PBE-GGA
Structure: relaxed

Unit cell a=16.1411 b=4.1777 c=11.2247 alpha=90.00 beta=90.00 gamma=90.00
Last column: nearest neighbours and their distance in Å.
Fractional positions:
Y1 0.0237 0.2500 0.1616  6 Te 3.04-3.16, 2 Ni 3.33
Y2 0.4763 0.7500 0.6616  6 Te 3.04-3.16, 2 Ni 3.33
Y3 0.5237 0.2500 0.3384  6 Te 3.04-3.16, 2 Ni 3.33
Y4 0.9763 0.7500 0.8384  6 Te 3.04-3.16, 2 Ni 3.33
Tl1 0.2376 0.2500 0.4842  7 Te 3.37-3.71
Tl2 0.2624 0.7500 0.9842  7 Te 3.37-3.71
Tl3 0.7376 0.2500 0.0158  7 Te 3.37-3.71
Tl4 0.7624 0.7500 0.5158  7 Te 3.37-3.71
Ni1 0.0115 0.7500 0.3919  4 Te 2.52-2.54
Ni2 0.4885 0.2500 0.8919  4 Te 2.52-2.54
Ni3 0.5115 0.7500 0.1081  4 Te 2.52-2.54
Ni4 0.9885 0.2500 0.6081  4 Te 2.52-2.54
Te1 0.0759 0.7500 0.5964  3 Ni 2.52
Te2 0.1055 0.2500 0.9179  3 Y 3.04-3.08, 2 Tl 3.37
Te3 0.1423 0.7500 0.2660  1 Ni 2.54
Te4 0.3577 0.2500 0.7660  1 Ni 2.54
Te5 0.3945 0.7500 0.4179  3 Y 3.04-3.08, 2 Tl 3.37
Te6 0.4241 0.2500 0.0964  3 Ni 2.52
Te7 0.5759 0.7500 0.9036  3 Ni 2.52
Te8 0.6055 0.2500 0.5821  3 Y 3.04-3.08, 2 Tl 3.37
Te9 0.6423 0.7500 0.2340  1 Ni 2.54
Te10 0.8577 0.2500 0.7340  1 Ni 2.54
Te11 0.8945 0.7500 0.0821  3 Y 3.04-3.08, 2 Tl 3.37
Te12 0.9241 0.2500 0.4036  3 Ni 2.52

Summary:
**SG**: Pnma


Quick rundown of magnetization, same order as above: 0.00, 0.00, 0.00 μB per formula unit
Quick rundown of energy relative to the lowest polymorph listed for this composition, same order as above: 0.020, 0.134, 0.000 eV/atom
Quick rundown of density, same order as above: 6.7, 6.7, 6.4 Mg/m³